PmMn2B6 after structural relaxation. Source: Alexandria via LeMat-Bulk, functional PBE.

## Properties
- calculated density (kg/m3) = 6412
- ΔE_f (kcal/mol of atoms) = -12.45
- space-group type = Immm (71)
- total energy (eV per formula unit) = -68.01

Unit cell a=3.127 b=5.460 c=5.460 alpha=71.73 beta=73.36 gamma=73.36
Last column: magnetic moment on the atom in μB.
Fractional coordinates of all 9 atoms:
B1 0.500 0.639 0.361  -0.01
Mn1 0.155 0.345 0.345  0.83
Mn2 0.845 0.655 0.655  0.83
B2 0.303 0.933 0.461  -0.01
Pm1 0.000 0.000 0.000  -0.03
B3 0.500 0.361 0.639  -0.01
B4 0.697 0.539 0.067  -0.01
B5 0.303 0.461 0.933  -0.01
B6 0.697 0.067 0.539  -0.01